# 1
VASP calculation (PBE) on an optimized crystal structure of Na2MgAgBr5.

Summary:
- uncorrected formation energy (eV/atom) = -1.229
- space-group type = Cmc2_1

Cell: 9.113 9.113 14.755 Å, 90.00 90.00 154.22°
Fractional coordinates of all 18 atoms:
1 Na 0.066 0.934 0.500
2 Na 0.098 0.902 0.211
3 Na 0.902 0.098 0.711
4 Na 0.934 0.066 0.000
5 Mg 0.249 0.751 0.889
6 Mg 0.751 0.249 0.389
7 Ag 0.419 0.581 0.278
8 Ag 0.581 0.419 0.778
9 Br 0.097 0.903 0.901
10 Br 0.236 0.764 0.508
11 Br 0.259 0.741 0.259
12 Br 0.400 0.600 0.860
13 Br 0.498 0.502 0.126
14 Br 0.502 0.498 0.626
15 Br 0.600 0.400 0.360
16 Br 0.741 0.259 0.759
17 Br 0.764 0.236 0.008
18 Br 0.903 0.097 0.401


# 2
VASP calculation (PBE) on an optimized crystal structure of AsIr2O.

Summary:
- uncorrected formation energy (eV/atom) = 0.345
- offset from the most stable computed form (meV/atom) = 206
- space-group type = Fm-3m

Cell: 4.181 4.181 4.181 Å, 60.00 60.00 60.00°
Fractional coordinates of all 4 atoms:
1 As 0.000 0.000 0.000
2 Ir 0.250 0.250 0.250
3 Ir 0.750 0.750 0.750
4 O 0.500 0.500 0.500


# 3
VASP calculation (PBE) on an optimized crystal structure of Pr8ErMg2.

Summary:
- ΔE_f (eV per atom) = 0.00
- offset from the most stable computed form (meV/atom) = 0
- space-group type = C2/m

Cell: 9.386 9.386 8.302 Å, 107.80 107.80 32.16°
Fractional coordinates of all 11 atoms:
1 Pr 0.050 0.050 0.236
2 Pr 0.140 0.140 0.697
3 Pr 0.316 0.316 0.563
4 Pr 0.405 0.405 0.040
5 Pr 0.595 0.595 0.960
6 Pr 0.684 0.684 0.437
7 Pr 0.860 0.860 0.303
8 Pr 0.950 0.950 0.764
9 Er 0.500 0.500 0.500
10 Mg 0.227 0.227 0.133
11 Mg 0.773 0.773 0.867